Record 1
Density functional theory data (PBE-GGA) for a relaxed structure of MgIn2Ga.

Output
* E: -0.09391 hartree per atom
* relative energy among the computed polymorphs: 0 meV per atom

a b c (Å): 4.4267 4.5681 4.5681
angles (deg): 90.00 90.00 90.00
Fractional coordinates of all 4 atoms:
Ga  0.5000  0.0000  0.0000
Mg  0.5000  0.5000  0.5000
In  0.0000  0.0000  0.5000
In  0.0000  0.5000  0.0000

---

Record 2
Density functional theory data (PBE-GGA) for a relaxed structure of DyCo12Si6.

Output
* E: -0.25017 hartree per atom
* ΔE_f (raw): -0.36 eV per atom

a b c (Å): 6.4919 6.4919 6.4919
angles (deg): 105.26 105.26 105.26
Fractional coordinates of all 19 atoms:
Co  0.8716  0.5000  0.1284
Co  0.8716  0.1284  0.5000
Co  0.1788  0.4373  0.4373
Si  0.7556  0.7556  0.3060
Si  0.3060  0.7556  0.7556
Co  0.5000  0.8716  0.1284
Si  0.6940  0.2444  0.2444
Co  0.4373  0.1788  0.4373
Co  0.5627  0.5627  0.8212
Co  0.4373  0.4373  0.1788
Si  0.2444  0.6940  0.2444
Co  0.5627  0.8212  0.5627
Co  0.1284  0.8716  0.5000
Si  0.2444  0.2444  0.6940
Dy  0.0000  0.0000  0.0000
Co  0.5000  0.1284  0.8716
Co  0.1284  0.5000  0.8716
Si  0.7556  0.3060  0.7556
Co  0.8212  0.5627  0.5627

---

Record 3
Density functional theory data (PBE-GGA) for a relaxed structure of Ag2HgIr.

Output
* E: -0.12348 hartree per atom

a b c (Å): 2.8346 2.8346 9.9685
angles (deg): 90.00 90.00 116.54
Fractional coordinates of all 4 atoms:
Hg  0.5000  0.5000  0.2500
Ag  0.0000  0.0000  0.5130
Ag  0.0000  0.0000  0.9870
Ir  0.5000  0.5000  0.7500

---

Record 4
Density functional theory data (PBE-GGA) for a relaxed structure of Nd3Cd2Au6.

Output
* E: -0.13794 hartree per atom

a b c (Å): 4.5085 4.5085 13.4073
angles (deg): 99.68 99.68 90.00
Fractional coordinates of all 11 atoms:
Au  0.3150  0.3150  0.6300
Au  0.3876  0.8876  0.7752
Nd  0.8012  0.8012  0.6023
Cd  0.4487  0.4487  0.8974
Au  0.1124  0.6124  0.2248
Nd  0.1988  0.1988  0.3977
Nd  0.0000  0.0000  0.0000
Au  0.6124  0.1124  0.2248
Au  0.8876  0.3876  0.7752
Cd  0.5513  0.5513  0.1026
Au  0.6850  0.6850  0.3700